! LiNiF3, optimized geometry, DFT PBE with a Hubbard U; values from VASP
&SYSTEM
  ibrav = 0, nat = 5, ntyp = 3
/
ATOMIC_SPECIES
Ni 58.69 Ni.upf
Li 6.94 Li.upf
F 19.00 F.upf
ATOMIC_POSITIONS angstrom
Ni 0.0000 0.0000 0.0000
Li 1.9776 1.9776 1.9776
F 0.0000 1.9776 0.0000
F 0.0000 0.0000 1.9776
F 1.9776 0.0000 0.0000
CELL_PARAMETERS angstrom
3.9552 0.0000 0.0000
0.0000 3.9552 0.0000
0.0000 0.0000 3.9552
! energy relative to the lowest polymorph listed for this composition = 215.8 meV per atom
! calculated total energy = -4.2781 eV/atom